[1]
Computed, not measured: a relaxed structure of Hf2ZnNi at the PBE level of DFT.

```
Hf2ZnNi
1.0
-0.747 -1.010 -3.973
1.200 -3.711 -1.467
-4.135 -3.470 -0.529
Ni Hf Zn
1 2 1
direct
0.439 0.439 0.684
0.030 0.030 0.910
0.226 0.226 0.322
0.806 0.806 0.583
```

Values from the calculation:
energy of formation from the pure elements: -0.067 eV per atom
calculated total energy: -6.808 eV per atom
D(E_F): 1.8 states/eV/f.u.
theoretical density: 10.93 g cm⁻³

***

[2]
Computed, not measured: a relaxed structure of CaH8Pt2 at the PBE level of DFT.

```
CaH8Pt2
1.0
3.657 -0.359 -0.539
-1.188 5.319 1.179
-1.188 -0.961 5.362
Pt H Ca
2 8 1
direct
0.000 0.681 0.319
0.000 0.319 0.681
0.500 0.681 0.319
0.153 0.319 0.988
0.153 0.988 0.319
0.840 0.339 0.339
0.160 0.661 0.661
0.500 0.319 0.681
0.847 0.012 0.681
0.847 0.681 0.012
0.500 0.000 0.000
```

Values from the calculation:
calculated total energy: -3.947 eV per atom
D(E_F): 2.7 states/eV/f.u.
theoretical density: 7.09 g cm⁻³

***

[3]
Computed, not measured: a relaxed structure of MnNi2AgC at the PBE level of DFT.

```
MnNi2AgC
1.0
-1.498 3.874 -1.366
-0.541 -1.369 -3.289
-4.055 -1.162 1.150
Ni Ag C Mn
2 1 1 1
direct
0.000 0.000 0.500
0.500 0.000 0.000
0.500 0.500 0.500
0.000 0.500 0.000
0.000 0.000 0.000
```

Values from the calculation:
energy of formation from the pure elements: 1.188 eV per atom
offset from the most stable computed form: 1.0450 eV/atom
calculated total energy: -5.374 eV per atom
D(E_F): 5.1 states/eV/f.u.
theoretical density: 7.04 g cm⁻³

***

[4]
Computed, not measured: a relaxed structure of CaLa2Cd at the PBE level of DFT.

```
CaLa2Cd
1.0
3.762 0.000 0.000
1.881 3.258 0.000
1.881 1.086 11.657
Cd Ca La
1 1 2
direct
0.667 0.667 0.999
0.499 0.499 0.502
0.260 0.260 0.221
0.074 0.074 0.778
```

Values from the calculation:
energy of formation from the pure elements: -0.019 eV per atom
calculated total energy: -3.212 eV per atom
D(E_F): 6.0 states/eV/f.u.
theoretical density: 5.00 g cm⁻³

***

[5]
Computed, not measured: a relaxed structure of Na3Tm3NpO8 at the PBE level of DFT.

```
Na3Tm3NpO8
1.0
6.808 0.000 0.000
-3.404 5.896 -0.022
0.000 -3.913 5.629
O Tm Np Na
8 3 1 3
direct
0.230 0.459 0.698
0.770 0.541 0.302
0.265 0.530 0.295
0.739 0.968 0.698
0.230 0.968 0.698
0.261 0.032 0.302
0.770 0.032 0.302
0.735 0.470 0.705
0.500 0.000 0.500
0.500 0.500 0.500
0.000 0.500 0.500
0.000 0.000 0.500
0.000 0.500 0.000
0.000 0.000 0.000
0.500 0.500 0.000
```

Values from the calculation:
calculated total energy: -7.501 eV per atom
D(E_F): 10.7 states/eV/f.u.
theoretical density: 6.93 g cm⁻³

***

[6]
Computed, not measured: a relaxed structure of RbPr4Se6 at the PBE level of DFT.

```
RbPr4Se6
1.0
7.809 0.118 0.174
-3.506 6.979 -0.174
-3.506 -2.727 6.426
Se Rb Pr
6 1 4
direct
0.500 0.500 0.000
0.295 0.464 0.464
0.000 0.830 0.536
0.500 0.000 0.500
0.000 0.536 0.830
0.705 0.170 0.170
0.000 0.000 0.000
0.000 0.589 0.201
0.000 0.201 0.589
0.388 0.799 0.799
0.612 0.411 0.411
```

Values from the calculation:
offset from the most stable computed form: 0.2663 eV/atom
calculated total energy: -5.241 eV per atom
D(E_F): 3.2 states/eV/f.u.
theoretical density: 5.25 g cm⁻³

***

[7]
Computed, not measured: a relaxed structure of BaGeSb2 at the PBE level of DFT.

```
BaGeSb2
1.0
8.171 0.000 0.000
0.000 8.171 0.000
4.086 4.086 4.237
Ge Ba Sb
2 2 4
direct
0.250 0.750 0.500
0.500 0.500 0.000
0.750 0.250 0.500
0.000 0.000 0.000
0.540 0.125 0.250
0.210 0.625 0.250
0.375 0.460 0.750
0.875 0.790 0.750
```

Values from the calculation:
calculated total energy: -4.100 eV per atom
D(E_F): 0.8 states/eV/f.u.
theoretical density: 5.32 g cm⁻³

***

[8]
Computed, not measured: a relaxed structure of Sc2HgSe at the PBE level of DFT.

```
Sc2HgSe
1.0
-4.503 -2.839 2.901
0.759 -3.290 5.036
1.428 5.389 -2.383
Se Sc Hg
1 2 1
direct
0.500 0.500 0.000
0.000 0.000 0.000
0.250 0.750 0.500
0.750 0.250 0.500
```

Values from the calculation:
offset from the most stable computed form: 0.3368 eV/atom
calculated total energy: -4.751 eV per atom
D(E_F): 3.9 states/eV/f.u.
theoretical density: 7.06 g cm⁻³

***

[9]
Computed, not measured: a relaxed structure of Cs2CeNp2Te6 at the PBE level of DFT.

```
Cs2CeNp2Te6
1.0
7.885 -0.034 0.078
-3.926 6.838 0.078
-1.399 -2.404 9.074
Np Cs Te Ce
2 2 6 1
direct
0.667 0.333 0.500
0.333 0.667 0.500
0.165 0.835 0.000
0.835 0.165 0.000
0.937 0.600 0.312
0.723 0.723 0.688
0.063 0.400 0.688
0.400 0.063 0.688
0.600 0.937 0.312
0.277 0.277 0.312
0.000 0.000 0.500
```

Values from the calculation:
calculated total energy: -5.762 eV per atom
D(E_F): 22.9 states/eV/f.u.
theoretical density: 5.57 g cm⁻³

***

[10]
Computed, not measured: a relaxed structure of La2InNi at the PBE level of DFT.

```
La2InNi
1.0
4.015 0.030 -0.022
2.030 3.464 -0.022
1.961 1.134 8.539
La In Ni
2 1 1
direct
0.485 0.485 0.551
0.015 0.015 0.949
0.250 0.250 0.250
0.750 0.750 0.750
```

Values from the calculation:
energy of formation from the pure elements: -0.266 eV per atom
calculated total energy: -4.860 eV per atom
D(E_F): 4.0 states/eV/f.u.
theoretical density: 6.33 g cm⁻³

***

[11]
Computed, not measured: a relaxed structure of LaTc2Se at the PBE level of DFT.

```
LaTc2Se
1.0
5.059 0.019 0.006
0.129 5.057 -0.006
-1.835 -3.314 3.353
Se Tc La
1 2 1
direct
0.199 0.699 0.500
0.820 0.320 0.500
0.992 0.992 0.000
0.489 0.489 0.000
```

Values from the calculation:
calculated total energy: -7.256 eV per atom
D(E_F): 3.5 states/eV/f.u.
theoretical density: 8.02 g cm⁻³

***

[12]
Computed, not measured: a relaxed structure of Y2HoThSc4 at the PBE level of DFT.

```
Y2HoThSc4
1.0
-0.623 -4.881 0.567
4.807 -0.485 1.102
2.902 0.788 9.968
Sc Y Ho Th
4 2 1 1
direct
0.500 0.252 0.748
0.500 0.748 0.252
0.000 0.248 0.252
0.000 0.752 0.748
0.000 0.000 0.000
0.500 0.000 0.500
0.500 0.500 0.000
0.000 0.500 0.500
```

Values from the calculation:
energy of formation from the pure elements: 0.046 eV per atom
calculated total energy: -6.235 eV per atom
D(E_F): 12.5 states/eV/f.u.
theoretical density: 5.57 g cm⁻³